This record from Alexandria via LeMat-Bulk describes a geometry-optimized YPt structure. The functional is PBE-GGA.

```
YPt
1.0
4.245 0.000 0.000
-2.122 3.676 0.000
0.000 0.000 21.475
Y Pt
6 6
Direct
0.000 0.000 0.089 Y
0.000 0.000 0.911 Y
0.333 0.667 0.578 Y
0.333 0.667 0.756 Y
0.667 0.333 0.244 Y
0.667 0.333 0.422 Y
0.000 0.000 0.360 Pt
0.000 0.000 0.640 Pt
0.333 0.667 0.026 Pt
0.333 0.667 0.307 Pt
0.667 0.333 0.693 Pt
0.667 0.333 0.974 Pt
```

Output
As for the density of states at the Fermi level: 1.17 states/eV/f.u. The calculation puts the total energy at -6.93 eV/atom. As for the energy of formation: -682.4 meV per atom.